(1)
# meta-GGA SCAN In3CCl, PBEsol geometry
# DOS at the Fermi energy in states/eV per atom: 0.51
# Formation energy (no corrections) in eV per formula unit: 2.9
# Total energy in eV per atom: -23.070
data_In3CCl
_chemical_formula_sum 'In3 C1 Cl1'
_symmetry_space_group_name_H-M 'P m -3 m'
_symmetry_Int_Tables_number 221
_symmetry_space_group_name_Hall '-P 4 2 3'
_cell_length_a 4.818
_cell_length_b 4.818
_cell_length_c 4.818
_cell_angle_alpha 90.00
_cell_angle_beta 90.00
_cell_angle_gamma 90.00
loop_
_atom_site_label
_atom_site_fract_x
_atom_site_fract_y
_atom_site_fract_z
_atom_site_occupancy
In1 0.000 0.000 0.500 1
C1 0.000 0.000 0.000 1
Cl1 0.500 0.500 0.500 1

***

(2)
# meta-GGA SCAN PIrCCl2, PBEsol geometry
# DOS at the Fermi energy in states/eV per atom: 0.26
# Formation energy (no corrections) in eV per formula unit: 7.7
# Total energy in eV per atom: -19.966
data_PIrCCl2
_chemical_formula_sum 'P1 Ir1 C1 Cl2'
_symmetry_space_group_name_H-M 'P 4/m m m'
_symmetry_Int_Tables_number 123
_symmetry_space_group_name_Hall '-P 4 2'
_cell_length_a 4.838
_cell_length_b 4.838
_cell_length_c 4.415
_cell_angle_alpha 90.00
_cell_angle_beta 90.00
_cell_angle_gamma 90.00
loop_
_atom_site_label
_atom_site_fract_x
_atom_site_fract_y
_atom_site_fract_z
_atom_site_occupancy
P1 0.000 0.000 0.000 1
Ir1 0.000 0.000 0.500 1
C1 0.500 0.500 0.000 1
Cl1 0.000 0.500 0.500 1

***

(3)
# meta-GGA SCAN Sc2IrCCl, PBEsol geometry
# DOS at the Fermi energy in states/eV per atom: 0.43
# Formation energy (no corrections) in eV per formula unit: -1.9
# Total energy in eV per atom: -23.914
data_Sc2IrCCl
_chemical_formula_sum 'Sc2 Ir1 C1 Cl1'
_symmetry_space_group_name_H-M 'P 4/m m m'
_symmetry_Int_Tables_number 123
_symmetry_space_group_name_Hall '-P 4 2'
_cell_length_a 5.088
_cell_length_b 5.088
_cell_length_c 3.820
_cell_angle_alpha 90.00
_cell_angle_beta 90.00
_cell_angle_gamma 90.00
loop_
_atom_site_label
_atom_site_fract_x
_atom_site_fract_y
_atom_site_fract_z
_atom_site_occupancy
Sc1 0.000 0.500 0.000 1
Ir1 0.000 0.000 0.000 1
C1 0.000 0.000 0.500 1
Cl1 0.500 0.500 0.500 1

***

(4)
# meta-GGA SCAN K3CCl, PBEsol geometry
# DOS at the Fermi energy in states/eV per atom: 0.64
# Formation energy (no corrections) in eV per formula unit: 0.4
# Total energy in eV per atom: -8.542
data_K3CCl
_chemical_formula_sum 'K3 C1 Cl1'
_symmetry_space_group_name_H-M 'P m -3 m'
_symmetry_Int_Tables_number 221
_symmetry_space_group_name_Hall '-P 4 2 3'
_cell_length_a 5.513
_cell_length_b 5.513
_cell_length_c 5.513
_cell_angle_alpha 90.00
_cell_angle_beta 90.00
_cell_angle_gamma 90.00
loop_
_atom_site_label
_atom_site_fract_x
_atom_site_fract_y
_atom_site_fract_z
_atom_site_occupancy
K1 0.000 0.000 0.500 1
C1 0.000 0.000 0.000 1
Cl1 0.500 0.500 0.500 1

***

| no. | total magnetization (Bohr magnetons per cell) |
| --- | --- |
| 1 | 0.0 |
| 2 | 1.3 |
| 3 | 1.0 |
| 4 | 2.0 |